No. 1
Computed, not measured: a relaxed structure of Pu3Co2P4 at the GGA-PBE level of DFT.

formation energy: -0.925 eV per atom

Unit cell a=11.8030 b=3.8623 c=8.0427 alpha=90.00 beta=120.92 gamma=90.00
Last column: nearest neighbours and their distance in Å.
Space group C2/m (No. 12)
One atom of each set of equivalent atoms:
Pu 0.0000 0.0000 0.0000 [2 per cell]  6 P 2.71-2.79
Pu 0.1242 0.5000 0.7120 [4 per cell]  7 P 2.76-3.07
Co 0.1858 0.5000 0.3755 [4 per cell]  4 P 2.21-2.24
P 0.0986 0.0000 0.3976 [4 per cell]  3 Co 2.24
P 0.1845 0.5000 0.0997 [4 per cell]  1 Co 2.21

No. 2
Computed, not measured: a relaxed structure of AlInSn at the GGA-PBE level of DFT.

formation energy: 0.094 eV per atom

Unit cell a=6.8266 b=6.8266 c=6.8266 alpha=90.00 beta=90.00 gamma=90.00
Last column: nearest neighbours and their distance in Å.
Space group F-43m (No. 216)
One atom of each set of equivalent atoms:
Al 0.0000 0.0000 0.0000 [4 per cell]  4 In 2.96, 4 Sn 2.96
In 0.2500 0.2500 0.7500 [4 per cell]  4 Al 2.96
Sn 0.2500 0.2500 0.2500 [4 per cell]  4 Al 2.96

No. 3
Computed, not measured: a relaxed structure of PrTlHgAu at the GGA-PBE level of DFT.

formation energy: -0.458 eV per atom

Unit cell a=7.3852 b=7.3852 c=7.3852 alpha=90.00 beta=90.00 gamma=90.00
Last column: nearest neighbours and their distance in Å.
Space group F-43m (No. 216)
One atom of each set of equivalent atoms:
Pr 0.0000 0.0000 0.0000 [4 per cell]  4 Hg 3.20, 4 Au 3.20
Tl 0.0000 0.0000 0.5000 [4 per cell]  4 Au 3.20, 4 Hg 3.20
Hg 0.2500 0.2500 0.2500 [4 per cell]  4 Tl 3.20, 4 Pr 3.20
Au 0.2500 0.2500 0.7500 [4 per cell]  4 Tl 3.20, 4 Pr 3.20

No. 4
Computed, not measured: a relaxed structure of PrEr2Cd2 at the GGA-PBE level of DFT.

energy above the most stable polymorph in this dataset: 0.177 eV/atom
formation energy: -0.067 eV per atom

Unit cell a=6.9370 b=6.8793 c=7.0637 alpha=90.00 beta=115.65 gamma=90.00
Last column: nearest neighbours and their distance in Å.
Space group C2/m (No. 12)
One atom of each set of equivalent atoms:
Pr 0.0000 0.0000 0.0000 [2 per cell]  8 Cd 3.50-3.92
Er 0.0000 0.2499 0.5000 [4 per cell]  4 Cd 3.06-3.08
Cd 0.1236 0.5000 0.2074 [4 per cell]  1 Cd 2.68

No. 5
Computed, not measured: a relaxed structure of Li3PaAu4 at the GGA-PBE level of DFT.

formation energy: -0.460 eV per atom

Unit cell a=4.5307 b=4.5307 c=24.4447 alpha=90.00 beta=90.00 gamma=120.00
Last column: nearest neighbours and their distance in Å.
Space group R-3m (No. 166, hexagonal axes)
One atom of each set of equivalent atoms:
Li 0.0000 0.0000 0.0000 [3 per cell]  8 Au 2.62-2.81
Li 0.0000 0.0000 0.2635 [6 per cell]  7 Au 2.70-2.77
Pa 0.0000 0.0000 0.5000 [3 per cell]  8 Au 2.99-3.05
Au 0.0000 0.0000 0.1073 [6 per cell]  4 Li 2.62-2.77
Au 0.0000 0.0000 0.3754 [6 per cell]  7 Li 2.70-2.81

No. 6
Computed, not measured: a relaxed structure of Ac2Si6Os at the GGA-PBE level of DFT.

raw formation energy: -0.377 eV per atom

Unit cell a=6.1645 b=6.1645 c=5.3590 alpha=90.00 beta=90.00 gamma=120.00
Last column: nearest neighbours and their distance in Å.
Space group P-3m1 (No. 164)
One atom of each set of equivalent atoms:
Ac 0.3333 0.6667 0.3275 [2 per cell]  12 Si 3.19-3.24
Si 0.1634 0.3268 0.8282 [6 per cell]  1 Os 2.48, 2 Si 2.54
Os 0.0000 0.0000 0.5000 [1 per cell]  6 Si 2.48

No. 7
Computed, not measured: a relaxed structure of CaPmHo2Tl4 at the GGA-PBE level of DFT.

formation energy: -0.362 eV per atom

Unit cell a=5.4049 b=5.4049 c=26.6803 alpha=90.00 beta=90.00 gamma=120.00
Last column: nearest neighbours and their distance in Å.
Space group R-3m (No. 166, hexagonal axes)
One atom of each set of equivalent atoms:
Ca 0.0000 0.0000 0.0000 [3 per cell]  8 Tl 3.31-3.34
Pm 0.0000 0.0000 0.5000 [3 per cell]  8 Tl 3.31-3.33
Ho 0.0000 0.0000 0.2522 [6 per cell]  8 Tl 3.28-3.39
Tl 0.0000 0.0000 0.1250 [6 per cell]  3 Pm 3.31, 4 Ho 3.33-3.39, 1 Ca 3.34
Tl 0.0000 0.0000 0.3750 [6 per cell]  4 Ho 3.28-3.29, 3 Ca 3.31, 1 Pm 3.33

No. 8
Computed, not measured: a relaxed structure of La2ZnInSe5 at the GGA-PBE level of DFT.

raw formation energy: -1.316 eV per atom

Unit cell a=4.1973 b=18.0605 c=12.2619 alpha=90.00 beta=90.00 gamma=90.00
Last column: nearest neighbours and their distance in Å.
Space group Cmc2_1 (No. 36)
One atom of each set of equivalent atoms:
La 0.0000 0.1110 0.0000 [4 per cell]  8 Se 3.13-3.19
La 0.0000 0.1286 0.6181 [4 per cell]  8 Se 3.04-3.41
Zn 0.0000 0.4437 0.7665 [4 per cell]  4 Se 2.45-2.66
In 0.0000 0.2053 0.3280 [4 per cell]  6 Se 2.81-2.98
Se 0.0000 0.0430 0.3721 [4 per cell]  2 Zn 2.48
Se 0.0000 0.2839 0.9928 [4 per cell]  2 In 2.92, 3 La 3.04-3.13
Se 0.0000 0.3148 0.6622 [4 per cell]  1 Zn 2.66, 2 In 2.94
Se 0.0000 0.3604 0.3135 [4 per cell]  1 In 2.81
Se 0.0000 0.4956 0.0876 [4 per cell]  1 Zn 2.45

No. 9
Computed, not measured: a relaxed structure of La4Pt3 at the GGA-PBE level of DFT.

energy above the most stable polymorph in this dataset: 0.414 eV/atom
formation energy: -0.643 eV per atom

Unit cell a=5.7517 b=5.7517 c=5.9254 alpha=90.00 beta=90.00 gamma=120.00
Last column: nearest neighbours and their distance in Å.
Space group P6/mmm (No. 191)
One atom of each set of equivalent atoms:
La 0.0000 0.0000 0.2373 [2 per cell]  2 La 2.81-3.11
La 0.3333 0.6667 0.5000 [2 per cell]  9 La 3.32-3.67, 6 Pt 3.40
Pt 0.0000 0.5000 0.0000 [3 per cell]  4 Pt 2.88, 4 La 3.20

No. 10
Computed, not measured: a relaxed structure of Ba2ReO2 at the GGA-PBE level of DFT.

energy above the most stable polymorph in this dataset: 0.243 eV/atom
raw formation energy: -0.179 eV per atom

Unit cell a=8.0893 b=8.0893 c=3.2779 alpha=90.00 beta=90.00 gamma=90.00
Last column: nearest neighbours and their distance in Å.
Space group P4/mbm (No. 127)
One atom of each set of equivalent atoms:
Ba 0.1477 0.3523 0.0000 [4 per cell]  6 O 2.85-2.90, 2 Re 3.09
Re 0.0000 0.0000 0.0000 [2 per cell]  4 Ba 3.09, 2 Re 3.28
O 0.1481 0.6481 0.5000 [4 per cell]  6 Ba 2.85-2.90

No. 11
Computed, not measured: a relaxed structure of Pm5ErCd6 at the GGA-PBE level of DFT.

formation energy: -0.316 eV per atom

Unit cell a=5.3683 b=16.1390 c=7.6782 alpha=90.00 beta=90.00 gamma=90.00
Last column: nearest neighbours and their distance in Å.
Space group Cmmm (No. 65)
One atom of each set of equivalent atoms:
Pm 0.0000 0.0000 0.0000 [2 per cell]  8 Cd 3.28-3.33
Pm 0.0000 0.3312 0.0000 [4 per cell]  8 Cd 3.32-3.36
Pm 0.0000 0.3341 0.5000 [4 per cell]  8 Cd 3.27-3.34
Er 0.0000 0.0000 0.5000 [2 per cell]  8 Cd 3.24-3.27
Cd 0.0000 0.1634 0.2548 [8 per cell]  1 Er 3.24, 7 Pm 3.28-3.34
Cd 0.0000 0.5000 0.2559 [4 per cell]  6 Pm 3.27-3.36, 2 Er 3.27

No. 12
Computed, not measured: a relaxed structure of Zn3AsC at the GGA-PBE level of DFT.

energy above the most stable polymorph in this dataset: 1.019 eV/atom
formation energy: 1.576 eV per atom

Unit cell a=4.8939 b=4.8939 c=4.8939 alpha=90.00 beta=90.00 gamma=90.00
Last column: nearest neighbours and their distance in Å.
Space group Pm-3m (No. 221)
One atom of each set of equivalent atoms:
Zn 0.0000 0.0000 0.5000 [3 per cell]  2 As 2.45
As 0.0000 0.0000 0.0000 [1 per cell]  6 Zn 2.45
C 0.5000 0.5000 0.5000 [1 per cell]  12 Zn 3.46

no.,theoretical density (kg/m3),spin magnetization (μB/f.u.)
1,10281,5.14
2,5439,0.00
3,12250,0.00
4,7653,0.00
5,11919,0.00
6,7652,0.00
7,9834,0.00
8,6094,0.00
9,11159,0.00
10,7631,4.44
11,7822,2.16
12,4011,2.18